Record 1
AlWN2: relaxed, GGA-PBE.

abc: 6.541 6.541 6.541
angles: 26.12 26.12 26.12
Element x y z (fractional)
Al (0.000, 0.000, 0.000)
W (0.500, 0.500, 0.500)
N (0.103, 0.103, 0.103)
N (0.897, 0.897, 0.897)

Record 2
AlWN2: relaxed, GGA-PBE.

abc: 5.406 5.406 5.406
angles: 128.87 128.87 75.23
Element x y z (fractional)
Al (0.000, 0.000, 0.000)
Al (0.750, 0.250, 0.500)
W (0.250, 0.750, 0.500)
W (0.500, 0.500, 0.000)
N (0.096, 0.625, 0.971)
N (0.375, 0.346, 0.471)
N (0.654, 0.125, 0.029)
N (0.875, 0.904, 0.529)

Record 3
Y2AlN: relaxed, GGA-PBE.

abc: 6.231 6.231 6.231
angles: 112.96 112.96 102.69
Element x y z (fractional)
Y (0.031, 0.625, 0.906)
Y (0.375, 0.281, 0.406)
Y (0.719, 0.125, 0.094)
Y (0.875, 0.969, 0.594)
Al (0.250, 0.750, 0.500)
Al (0.500, 0.500, 0.000)
N (0.000, 0.000, 0.000)
N (0.750, 0.250, 0.500)

Record 4
Y2AlN: relaxed, GGA-PBE.

abc: 4.861 4.861 4.861
angles: 60.00 60.00 60.00
Element x y z (fractional)
Y (0.250, 0.250, 0.250)
Y (0.750, 0.750, 0.750)
Al (0.000, 0.000, 0.000)
N (0.500, 0.500, 0.500)

Record 5
YAlN2: relaxed, GGA-PBE.

abc: 5.778 6.893 5.734
angles: 90.00 109.06 90.00
Element x y z (fractional)
Y (0.132, 0.097, 0.298)
Y (0.132, 0.403, 0.798)
Y (0.868, 0.597, 0.202)
Y (0.868, 0.903, 0.702)
Al (0.383, 0.649, 0.394)
Al (0.383, 0.851, 0.894)
Al (0.617, 0.149, 0.106)
Al (0.617, 0.351, 0.606)
N (0.235, 0.672, 0.049)
N (0.235, 0.828, 0.549)
N (0.275, 0.105, 0.968)
N (0.275, 0.395, 0.468)
N (0.725, 0.605, 0.532)
N (0.725, 0.895, 0.032)
N (0.765, 0.172, 0.451)
N (0.765, 0.328, 0.951)

Record 6
YAl2N3: relaxed, GGA-PBE.

abc: 5.860 5.860 5.158
angles: 90.00 90.00 59.10
Element x y z (fractional)
Y (0.193, 0.807, 0.500)
Y (0.807, 0.193, 0.000)
Al (0.159, 0.490, 0.025)
Al (0.490, 0.159, 0.525)
Al (0.510, 0.841, 0.025)
Al (0.841, 0.510, 0.525)
N (0.168, 0.444, 0.390)
N (0.210, 0.790, 0.969)
N (0.444, 0.168, 0.890)
N (0.556, 0.832, 0.390)
N (0.790, 0.210, 0.469)
N (0.832, 0.556, 0.890)

Record 7
YAlN2: relaxed, GGA-PBE.

abc: 6.402 6.402 6.402
angles: 29.32 29.32 29.32
Element x y z (fractional)
Y (0.000, 0.000, 0.000)
Al (0.500, 0.500, 0.500)
N (0.117, 0.117, 0.117)
N (0.883, 0.883, 0.883)

Record 8
Y2AlN: relaxed, GGA-PBE.

abc: 7.873 7.873 7.873
angles: 25.77 25.77 25.77
Element x y z (fractional)
Y (0.226, 0.226, 0.226)
Y (0.774, 0.774, 0.774)
Al (0.000, 0.000, 0.000)
N (0.500, 0.500, 0.500)

Number 1: magnetic moment 0.0 μB/f.u., raw formation energy -0.289 eV per atom. Number 2: magnetic moment 0.0 μB/f.u., raw formation energy -0.369 eV per atom. Number 3: magnetic moment 0.0 μB/f.u., raw formation energy -0.644 eV per atom. Number 4: magnetic moment 0.0 μB/f.u., raw formation energy 0.277 eV per atom. Number 5: magnetic moment 0.0 μB/f.u., raw formation energy -1.356 eV per atom. Number 6: magnetic moment 0.0 μB/f.u., raw formation energy -1.411 eV per atom. Number 7: magnetic moment 0.0 μB/f.u., raw formation energy -0.101 eV per atom. Number 8: magnetic moment 0.0 μB/f.u., raw formation energy -0.934 eV per atom.